[1]
The following is a DFT calculation (PBE-GGA) of crystalline Ca2CuP at its relaxed geometry.

a = 3.6805 Å, b = 3.6805 Å, c = 8.0148 Å
α = 90.00°, β = 90.00°, γ = 108.15°
Last column: nearest neighbours and their distance in Å.
Element x y z (fractional)
Ca 0.0000 0.0000 0.9195  1 Cu 2.79, 2 P 2.86
P 0.5000 0.5000 0.6851  2 Cu 2.34
Ca 0.5000 0.5000 0.3239  1 P 2.90, 2 Cu 2.93
Cu 0.0000 0.0000 0.5715  2 P 2.34

Results
As for the energy of formation: -187 meV/atom. The total moment comes out at 0.00 μB/cell.

=====

[2]
The following is a DFT calculation (PBE-GGA) of crystalline Ca2CuP at its relaxed geometry.

a = 4.1873 Å, b = 4.1935 Å, c = 5.7954 Å
α = 90.00°, β = 90.00°, γ = 90.00°
Last column: nearest neighbours and their distance in Å.
Element x y z (fractional)
Ca 0.0000 0.0000 0.8741  2 Cu 2.89-2.90, 4 P 2.96
P 0.5000 0.5000 0.8764  6 Ca 2.90-2.96
Cu 0.0000 0.0000 0.3732  6 Ca 2.89-2.96
Ca 0.5000 0.5000 0.3763  2 P 2.90, 4 Cu 2.96

Results
As for the energy of formation: -449 meV/atom. The total moment comes out at 0.00 μB/cell.

=====

[3]
The following is a DFT calculation (PBE-GGA) of crystalline Ca3Pa2CuP6 at its relaxed geometry.

a = 6.9268 Å, b = 6.9268 Å, c = 7.0126 Å
α = 98.97°, β = 98.97°, γ = 120.55°
Last column: nearest neighbours and their distance in Å.
Element x y z (fractional)
P 0.5865 0.9233 0.7710  2 Pa 2.72-2.76, 1 Cu 2.80, 3 Ca 2.91-2.95
Ca 0.1636 0.8364 0.5000  6 P 2.91-2.94
Cu 0.0000 0.0000 0.0000  6 P 2.66-2.80
Ca 0.8364 0.1636 0.5000  6 P 2.91-2.94
P 0.7483 0.7483 0.2204  1 Cu 2.66, 2 Pa 2.77, 2 Ca 2.93
Pa 0.6675 0.3325 0.0000  6 P 2.72-2.77
P 0.4135 0.0767 0.2290  2 Pa 2.72-2.76, 1 Cu 2.80, 3 Ca 2.91-2.95
Ca 0.5000 0.5000 0.5000  6 P 2.95-2.98
P 0.0767 0.4135 0.2290  2 Pa 2.72-2.76, 1 Cu 2.80, 3 Ca 2.91-2.95
P 0.9233 0.5865 0.7710  2 Pa 2.72-2.76, 1 Cu 2.80, 3 Ca 2.91-2.95
P 0.2517 0.2517 0.7796  1 Cu 2.66, 2 Pa 2.77, 2 Ca 2.93
Pa 0.3325 0.6675 0.0000  6 P 2.72-2.77

Results
As for the energy of formation: -909 meV/atom. The total moment comes out at 0.00 μB/cell.

=====

[4]
The following is a DFT calculation (PBE-GGA) of crystalline Ca3CuP2Pd9 at its relaxed geometry.

a = 6.8680 Å, b = 6.8680 Å, c = 7.2403 Å
α = 90.00°, β = 90.00°, γ = 120.00°
Last column: nearest neighbours and their distance in Å.
Element x y z (fractional)
Pd 0.8176 0.6352 0.6533  1 P 2.27, 1 Cu 2.44
Pd 0.1824 0.3648 0.3467  1 P 2.27, 1 Cu 2.44
Pd 0.5000 0.5000 0.0000  2 P 2.28
P 0.3333 0.6667 0.1555  6 Pd 2.27-2.28
P 0.6667 0.3333 0.8445  6 Pd 2.27-2.28
Pd 0.8176 0.1824 0.6533  1 P 2.27, 1 Cu 2.44
Ca 0.3333 0.6667 0.6769  6 Pd 2.99-3.07
Pd 0.6352 0.8176 0.3467  1 P 2.27, 1 Cu 2.44
Ca 0.0000 0.0000 0.0000  12 Pd 3.32-3.43, 2 Cu 3.62
Pd 0.5000 0.0000 0.0000  2 P 2.28
Cu 0.0000 0.0000 0.5000  6 Pd 2.44
Ca 0.6667 0.3333 0.3231  6 Pd 2.99-3.07
Pd 0.0000 0.5000 0.0000  2 P 2.28
Pd 0.1824 0.8176 0.3467  1 P 2.27, 1 Cu 2.44
Pd 0.3648 0.1824 0.6533  1 P 2.27, 1 Cu 2.44

Results
As for the energy of formation: -506 meV/atom. The total moment comes out at 0.00 μB/cell.

=====

[5]
The following is a DFT calculation (PBE-GGA) of crystalline Ca4CuP3Pd12 at its relaxed geometry.

a = 7.9944 Å, b = 7.9944 Å, c = 7.9944 Å
α = 109.47°, β = 109.47°, γ = 109.47°
Last column: nearest neighbours and their distance in Å.
Element x y z (fractional)
Pd 0.7500 0.2500 0.5000  2 P 2.31
Pd 0.2592 0.2592 0.0000  1 P 2.22, 1 Cu 2.39
Ca 0.5000 0.0000 0.0000  12 Pd 3.26
Pd 0.5000 0.2500 0.7500  2 P 2.31
P 0.5000 0.5000 0.0000  6 Pd 2.22-2.31
Pd 0.7408 0.0000 0.7408  1 P 2.22, 1 Cu 2.39
P 0.5000 0.0000 0.5000  6 Pd 2.22-2.31
Pd 0.5000 0.7500 0.2500  2 P 2.31
Pd 0.7500 0.5000 0.2500  2 P 2.31
Pd 0.0000 0.7408 0.7408  1 P 2.22, 1 Cu 2.39
P 0.0000 0.5000 0.5000  6 Pd 2.22-2.31
Ca 0.5000 0.5000 0.5000  12 Pd 3.26
Cu 0.0000 0.0000 0.0000  6 Pd 2.39
Pd 0.0000 0.2592 0.2592  1 P 2.22, 1 Cu 2.39
Pd 0.2500 0.7500 0.5000  2 P 2.31
Ca 0.0000 0.0000 0.5000  12 Pd 3.26
Pd 0.2592 0.0000 0.2592  1 P 2.22, 1 Cu 2.39
Ca 0.0000 0.5000 0.0000  12 Pd 3.26
Pd 0.2500 0.5000 0.7500  2 P 2.31
Pd 0.7408 0.7408 0.0000  1 P 2.22, 1 Cu 2.39

Results
As for the energy of formation: -542 meV/atom. The total moment comes out at 0.00 μB/cell.

=====

[6]
The following is a DFT calculation (PBE-GGA) of crystalline CaCuPPd2 at its relaxed geometry.

a = 4.6601 Å, b = 4.6601 Å, c = 4.3510 Å
α = 90.00°, β = 90.00°, γ = 90.00°
Last column: nearest neighbours and their distance in Å.
Element x y z (fractional)
P 0.0000 0.0000 0.0000  2 Cu 2.18, 4 Pd 2.33
Pd 0.5000 0.0000 0.0000  2 P 2.33
Cu 0.0000 0.0000 0.5000  2 P 2.18
Ca 0.5000 0.5000 0.5000  8 Pd 3.19, 4 Cu 3.30
Pd 0.0000 0.5000 0.0000  2 P 2.33

Results
As for the energy of formation: -552 meV/atom. The total moment comes out at 0.00 μB/cell.